# 1
This record from the Alexandria database describes a geometry-optimized CaHgW2 structure. The functional is GGA-PBE.

Unit cell a=2.805 b=2.805 c=9.960 alpha=90.00 beta=90.00 gamma=99.14
Positions (direct):
Ca 0.500 0.500 0.250
Hg 0.500 0.500 0.750
W 0.000 0.000 0.985
W 0.000 0.000 0.515

Results
symmetry = Cmmm (65)
formation energy = 0.89 eV/atom

---

# 2
This record from the Alexandria database describes a geometry-optimized CdFe3Ge structure. The functional is GGA-PBE.

Unit cell a=4.758 b=4.758 c=4.758 alpha=90.00 beta=90.00 gamma=90.00
Last column: magnetic moment on the atom in μB.
Positions (direct):
Ge 0.500 0.500 0.500  -0.10
Fe 0.000 0.500 0.000  3.01
Fe 0.000 0.000 0.500  3.38
Fe 0.500 0.000 0.000  2.65
Cd 0.000 0.000 0.000  -0.06

Results
symmetry = Pm-3m (221)
formation energy = 1.60 eV/atom

---

# 3
This record from the Alexandria database describes a geometry-optimized Ba3Tl4Rh2 structure. The functional is GGA-PBE.

Unit cell a=5.067 b=6.595 c=9.199 alpha=82.72 beta=90.02 gamma=67.48
Positions (direct):
Ba 0.612 0.776 0.690
Ba 0.000 0.000 0.000
Ba 0.388 0.224 0.310
Tl 0.704 0.592 0.097
Tl 0.296 0.408 0.903
Tl 0.892 0.217 0.606
Tl 0.108 0.783 0.394
Rh 0.704 0.590 0.395
Rh 0.296 0.410 0.605

Results
symmetry = P-1 (2)
formation energy = -0.29 eV/atom

---

# 4
This record from the Alexandria database describes a geometry-optimized VAs structure. The functional is GGA-PBE.

Unit cell a=7.558 b=7.558 c=7.558 alpha=90.00 beta=90.00 gamma=90.00
Last column: magnetic moment on the atom in μB.
Positions (direct):
V 0.123 0.123 0.123  0.47
V 0.123 0.877 0.877  0.47
V 0.877 0.123 0.877  0.47
V 0.877 0.877 0.123  0.47
V 0.623 0.623 0.623  0.47
V 0.623 0.377 0.377  0.47
V 0.377 0.623 0.377  0.47
V 0.377 0.377 0.623  0.47
As 0.312 0.312 0.312  -0.01
As 0.312 0.688 0.688  -0.01
As 0.688 0.312 0.688  -0.01
As 0.688 0.688 0.312  -0.01
As 0.812 0.812 0.812  -0.01
As 0.812 0.188 0.188  -0.01
As 0.188 0.812 0.188  -0.01
As 0.188 0.188 0.812  -0.01

Results
symmetry = I-43m (217)
formation energy = 0.11 eV/atom

---

# 5
This record from the Alexandria database describes a geometry-optimized CrSbAs2 structure. The functional is GGA-PBE.

Unit cell a=5.875 b=5.875 c=5.875 alpha=140.46 beta=140.46 gamma=57.15
Last column: magnetic moment on the atom in μB.
Positions (direct):
As 0.000 0.000 0.000  -0.03
As 0.500 0.500 0.000  -0.03
Cr 0.250 0.750 0.500  3.44
Sb 0.750 0.250 0.500  -0.10

Results
formation energy (no corrections) = 40.3 kJ/mol of atoms
symmetry = I4/mmm (139)

---

# 6
This record from the Alexandria database describes a geometry-optimized Pr14HoIn structure. The functional is GGA-PBE.

Unit cell a=7.309 b=7.309 c=10.402 alpha=90.00 beta=90.00 gamma=90.00
Positions (direct):
Pr 0.375 0.625 0.500
Pr 0.875 0.125 0.500
Pr 0.875 0.625 0.000
Pr 0.875 0.625 0.500
Pr 0.375 0.125 0.000
Pr 0.375 0.125 0.500
Pr 0.627 0.877 0.756
Pr 0.627 0.877 0.244
Pr 0.123 0.373 0.756
Pr 0.123 0.373 0.244
Pr 0.123 0.877 0.756
Pr 0.123 0.877 0.244
Pr 0.627 0.373 0.756
Pr 0.627 0.373 0.244
Ho 0.375 0.625 0.000
In 0.875 0.125 0.000

Results
symmetry = P4/mmm (123)
formation energy = -0.04 eV/atom

---

# 7
This record from the Alexandria database describes a geometry-optimized PuFeTc structure. The functional is GGA-PBE.

Unit cell a=2.399 b=4.717 c=4.717 alpha=120.00 beta=90.00 gamma=90.00
Last column: magnetic moment on the atom in μB.
Positions (direct):
Fe 0.166 0.000 0.000  2.08
Tc 0.167 0.667 0.333  0.10
Pu 0.667 0.333 0.667  -1.17

Results
symmetry = P-6m2 (187)
formation energy = 0.46 eV/atom

---

# 8
This record from the Alexandria database describes a geometry-optimized Cs2H2Au structure. The functional is GGA-PBE.

Unit cell a=4.573 b=4.573 c=9.877 alpha=78.98 beta=78.98 gamma=87.69
Positions (direct):
Cs 0.582 0.582 0.785
Cs 0.418 0.418 0.215
H 0.060 0.940 0.500
H 0.940 0.060 0.500
Au 0.000 0.000 0.000

Results
raw total energy = -2.441 eV/atom
symmetry = C2/m (12)

---

# 9
This record from the Alexandria database describes a geometry-optimized TaHF3 structure. The functional is GGA-PBE.

Unit cell a=4.034 b=4.034 c=4.034 alpha=90.00 beta=90.00 gamma=90.00
Positions (direct):
H 0.500 0.500 0.500
F 0.000 0.500 0.000
F 0.000 0.000 0.500
F 0.500 0.000 0.000
Ta 0.000 0.000 0.000

Results
raw total energy = -5.717 eV/atom
symmetry = Pm-3m (221)

---

# 10
This record from the Alexandria database describes a geometry-optimized LaBe4Co structure. The functional is GGA-PBE.

Unit cell a=4.752 b=4.752 c=4.752 alpha=60.00 beta=60.00 gamma=60.00
Positions (direct):
La 0.000 0.000 0.000
Be 0.381 0.857 0.381
Be 0.857 0.381 0.381
Be 0.381 0.381 0.857
Be 0.381 0.381 0.381
Co 0.750 0.750 0.750

Results
symmetry = F-43m (216)
formation energy = 0.15 eV/atom

---

# 11
This record from the Alexandria database describes a geometry-optimized SrCuPb2 structure. The functional is GGA-PBE.

Unit cell a=4.045 b=5.145 c=6.231 alpha=65.00 beta=90.00 gamma=90.00
Positions (direct):
Cu 0.500 0.972 0.681
Pb 0.000 0.801 0.022
Pb 0.500 0.219 0.186
Sr 0.000 0.509 0.611

Results
symmetry = Pm (6)
formation energy = -0.11 eV/atom

---

# 12
This record from the Alexandria database describes a geometry-optimized Zr2PtW structure. The functional is GGA-PBE.

Unit cell a=2.977 b=2.977 c=8.673 alpha=90.00 beta=90.00 gamma=103.07
Positions (direct):
Pt 0.500 0.500 0.250
W 0.500 0.500 0.750
Zr 0.000 0.000 0.005
Zr 0.000 0.000 0.495

Results
symmetry = Cmmm (65)
formation energy = -0.29 eV/atom

---

# 13
This record from the Alexandria database describes a geometry-optimized Tb2Pm3Nd4 structure. The functional is GGA-PBE.

Unit cell a=3.645 b=3.645 c=27.144 alpha=90.00 beta=90.00 gamma=120.00
Positions (direct):
Tb 0.667 0.333 0.087
Tb 0.667 0.333 0.874
Pm 0.000 0.000 0.983
Pm 0.000 0.000 0.321
Pm 0.667 0.333 0.655
Nd 0.000 0.000 0.544
Nd 0.667 0.333 0.433
Nd 0.667 0.333 0.213
Nd 0.000 0.000 0.767

Results
symmetry = P3m1 (156)
formation energy = 0.07 eV/atom

---

# 14
This record from the Alexandria database describes a geometry-optimized BaOsPd3 structure. The functional is GGA-PBE.

Unit cell a=4.964 b=4.964 c=4.964 alpha=90.00 beta=90.00 gamma=90.00
Positions (direct):
Os 0.000 0.000 0.000
Ba 0.500 0.500 0.500
Pd 0.000 0.500 0.000
Pd 0.000 0.000 0.500
Pd 0.500 0.000 0.000

Results
symmetry = Pm-3m (221)
formation energy = 0.43 eV/atom

---

# 15
This record from the Alexandria database describes a geometry-optimized LiZrSc2 structure. The functional is GGA-PBE.

Unit cell a=5.446 b=7.288 c=3.172 alpha=64.15 beta=90.03 gamma=122.83
Positions (direct):
Li 0.500 0.000 0.500
Sc 0.000 0.000 0.000
Sc 0.000 0.500 0.500
Zr 0.500 0.500 0.000

Results
symmetry = Cmmm (65)
formation energy = 0.17 eV/atom

---

# 16
This record from the Alexandria database describes a geometry-optimized TaV2N structure. The functional is GGA-PBE.

Unit cell a=5.627 b=5.627 c=5.506 alpha=59.27 beta=59.27 gamma=90.00
Positions (direct):
V 0.501 0.125 0.250
V 0.249 0.625 0.250
V 0.375 0.499 0.750
V 0.875 0.751 0.750
Ta 0.000 0.000 0.000
Ta 0.750 0.250 0.500
N 0.500 0.500 0.000
N 0.250 0.750 0.500

Results
formation energy (no corrections) = 8.0 kJ/mol of atoms
symmetry = I-42d (122)

---

# 17
This record from the Alexandria database describes a geometry-optimized In2SbIrI structure. The functional is GGA-PBE.

Unit cell a=5.319 b=5.319 c=5.132 alpha=90.00 beta=90.00 gamma=90.00
Positions (direct):
I 0.500 0.500 0.500
Sb 0.000 0.000 0.500
Ir 0.000 0.000 0.000
In 0.000 0.500 0.000
In 0.500 0.000 0.000

Results
formation energy (no corrections) = -14.1 kJ/mol of atoms
symmetry = P4/mmm (123)

---

# 18
This record from the Alexandria database describes a geometry-optimized Ti2MnIr structure. The functional is GGA-PBE.

Unit cell a=3.026 b=3.026 c=6.127 alpha=90.00 beta=90.00 gamma=90.00
Positions (direct):
Ir 0.500 0.500 0.500
Mn 0.500 0.500 0.000
Ti 0.000 0.000 0.767
Ti 0.000 0.000 0.233

Results
symmetry = P4/mmm (123)
formation energy = -0.67 eV/atom

---

# 19
This record from the Alexandria database describes a geometry-optimized RbNiP structure. The functional is GGA-PBE.

Unit cell a=5.602 b=3.815 c=3.815 alpha=120.00 beta=90.00 gamma=90.00
Positions (direct):
Ni 0.166 0.333 0.667
Rb 0.667 0.667 0.333
P 0.167 0.000 0.000

Results
symmetry = P-6m2 (187)
formation energy = -0.23 eV/atom

---

# 20
This record from the Alexandria database describes a geometry-optimized FeTc2Pd structure. The functional is GGA-PBE.

Unit cell a=3.703 b=3.703 c=9.177 alpha=78.36 beta=78.36 gamma=90.00
Positions (direct):
Tc 0.586 0.125 0.250
Tc 0.164 0.625 0.250
Tc 0.375 0.414 0.750
Tc 0.875 0.836 0.750
Pd 0.000 0.000 0.000
Pd 0.750 0.250 0.500
Fe 0.500 0.500 0.000
Fe 0.250 0.750 0.500

Results
symmetry = I-42d (122)
formation energy = 0.66 eV/atom